Entry 1:
# GGA-PBE CdI2NCl, relaxed
data_CdI2NCl
_chemical_formula_sum 'Cd1 I2 N1 Cl1'
_space_group_name_H-M_alt 'P 4/m m m'
_space_group_IT_number 123
_space_group_name_Hall '-P 4 2'
_cell_length_a 6.0844
_cell_length_b 6.0844
_cell_length_c 4.3130
_cell_angle_alpha 90.00
_cell_angle_beta 90.00
_cell_angle_gamma 90.00
loop_
_atom_site_label
_atom_site_fract_x
_atom_site_fract_y
_atom_site_fract_z
Cd1 0.0000 0.0000 0.0000
I1 0.0000 0.5000 0.0000
N1 0.0000 0.0000 0.5000
Cl1 0.5000 0.5000 0.5000
# E_tot = -1.9886 eV per atom
# energy relative to the lowest polymorph listed for this composition = 0.0 meV per atom
# formation energy (no corrections) = 0.8488 eV per atom
# volume = 31.933 Å³/atom
# calculated density = 4.3 g cm⁻³

Entry 2:
# GGA-PBE K3Cd2Cl8, relaxed
data_K3Cd2Cl8
_chemical_formula_sum 'K9 Cd6 Cl24'
_space_group_name_H-M_alt 'R -3 m'
_space_group_IT_number 166
_space_group_name_Hall '-R 3 2"'
_cell_length_a 7.3653
_cell_length_b 7.3653
_cell_length_c 27.0624
_cell_angle_alpha 90.00
_cell_angle_beta 90.00
_cell_angle_gamma 120.00
loop_
_atom_site_label
_atom_site_fract_x
_atom_site_fract_y
_atom_site_fract_z
K1 0.0000 0.0000 0.0000
K2 0.0000 0.0000 0.1998
Cd1 0.0000 0.0000 0.4020
Cl1 0.0000 0.0000 0.3116
Cl2 0.0279 0.5140 0.7692
# E_tot = -2.8431 eV per atom
# formation energy (no corrections) = -1.3127 eV per atom
# volume = 32.600 Å³/atom
# calculated density = 2.5 g cm⁻³